[1]
# Y2ReHPt meta-GGA SCAN single point on PBEsol structure
# VASP energy	-203.3	eV/cell
# size of the total moment	0.00	μB/atom
# calculated density	11.3	g/cm³
data_Y2ReHPt
_chemical_formula_sum 'Y2 Re1 H1 Pt1'
_symmetry_space_group_name_H-M 'P 1'
_symmetry_Int_Tables_number 1
_cell_length_a 4.8199
_cell_length_b 4.8199
_cell_length_c 3.5472
_cell_angle_alpha 90.00
_cell_angle_beta 90.00
_cell_angle_gamma 90.00
loop_
_symmetry_equiv_pos_as_xyz
'x,y,z'
loop_
_atom_site_label
_atom_site_type_symbol
_atom_site_fract_x
_atom_site_fract_y
_atom_site_fract_z
_atom_site_occupancy
Y1 Y 0.0000 0.5000 0.0000 1
Y2 Y 0.5000 0.0000 0.0000 1
Re1 Re 0.0000 0.0000 0.5000 1
H1 H 0.0000 0.0000 0.0000 1
Pt1 Pt 0.5000 0.5000 0.5000 1



[2]
# HPtRh3 meta-GGA SCAN single point on PBEsol structure
# VASP energy	-174.8	eV/cell
# size of the total moment	0.00	μB/atom
# calculated density	14.5	g/cm³
data_HPtRh3
_chemical_formula_sum 'H1 Pt1 Rh3'
_symmetry_space_group_name_H-M 'P 1'
_symmetry_Int_Tables_number 1
_cell_length_a 3.8635
_cell_length_b 3.8635
_cell_length_c 3.8635
_cell_angle_alpha 90.00
_cell_angle_beta 90.00
_cell_angle_gamma 90.00
loop_
_symmetry_equiv_pos_as_xyz
'x,y,z'
loop_
_atom_site_label
_atom_site_type_symbol
_atom_site_fract_x
_atom_site_fract_y
_atom_site_fract_z
_atom_site_occupancy
H1 H 0.0000 0.0000 0.0000 1
Pt1 Pt 0.5000 0.5000 0.5000 1
Rh1 Rh 0.0000 0.0000 0.5000 1
Rh2 Rh 0.0000 0.5000 0.0000 1
Rh3 Rh 0.5000 0.0000 0.0000 1



[3]
# H2PtRh2 meta-GGA SCAN single point on PBEsol structure
# VASP energy	-288.4	eV/cell
# size of the total moment	0.00	μB/atom
# calculated density	14.1	g/cm³
data_H2PtRh2
_chemical_formula_sum 'H4 Pt2 Rh4'
_symmetry_space_group_name_H-M 'P 1'
_symmetry_Int_Tables_number 1
_cell_length_a 3.3994
_cell_length_b 3.3994
_cell_length_c 8.2220
_cell_angle_alpha 90.00
_cell_angle_beta 90.00
_cell_angle_gamma 90.00
loop_
_symmetry_equiv_pos_as_xyz
'x,y,z'
loop_
_atom_site_label
_atom_site_type_symbol
_atom_site_fract_x
_atom_site_fract_y
_atom_site_fract_z
_atom_site_occupancy
H1 H 0.0000 0.5000 0.2500 1
H2 H 0.0000 0.5000 0.7500 1
H3 H 0.5000 0.0000 0.2500 1
H4 H 0.5000 0.0000 0.7500 1
Pt1 Pt 0.0000 0.0000 0.0000 1
Pt2 Pt 0.5000 0.5000 0.5000 1
Rh1 Rh 0.0000 0.0000 0.3390 1
Rh2 Rh 0.0000 0.0000 0.6610 1
Rh3 Rh 0.5000 0.5000 0.1610 1
Rh4 Rh 0.5000 0.5000 0.8390 1



[4]
# Ta2HRuPt meta-GGA SCAN single point on PBEsol structure
# VASP energy	-244.0	eV/cell
# size of the total moment	0.00	μB/atom
# calculated density	17.0	g/cm³
data_Ta2HRuPt
_chemical_formula_sum 'Ta2 H1 Ru1 Pt1'
_symmetry_space_group_name_H-M 'P 1'
_symmetry_Int_Tables_number 1
_cell_length_a 4.0630
_cell_length_b 4.0630
_cell_length_c 3.8913
_cell_angle_alpha 90.00
_cell_angle_beta 90.00
_cell_angle_gamma 90.00
loop_
_symmetry_equiv_pos_as_xyz
'x,y,z'
loop_
_atom_site_label
_atom_site_type_symbol
_atom_site_fract_x
_atom_site_fract_y
_atom_site_fract_z
_atom_site_occupancy
Ta1 Ta 0.0000 0.5000 0.0000 1
Ta2 Ta 0.5000 0.0000 0.0000 1
H1 H 0.0000 0.0000 0.0000 1
Ru1 Ru 0.0000 0.0000 0.5000 1
Pt1 Pt 0.5000 0.5000 0.5000 1



[5]
# HPtS2 meta-GGA SCAN single point on PBEsol structure
# VASP energy	-358.7	eV/cell
# size of the total moment	0.02	μB/atom
# calculated density	8.6	g/cm³
data_HPtS2
_chemical_formula_sum 'H4 Pt4 S8'
_symmetry_space_group_name_H-M 'P 1'
_symmetry_Int_Tables_number 1
_cell_length_a 5.8470
_cell_length_b 5.8470
_cell_length_c 5.8470
_cell_angle_alpha 90.00
_cell_angle_beta 90.00
_cell_angle_gamma 90.00
loop_
_symmetry_equiv_pos_as_xyz
'x,y,z'
loop_
_atom_site_label
_atom_site_type_symbol
_atom_site_fract_x
_atom_site_fract_y
_atom_site_fract_z
_atom_site_occupancy
H1 H 0.0000 0.0000 0.0000 1
H2 H 0.0000 0.5000 0.5000 1
H3 H 0.5000 0.0000 0.5000 1
H4 H 0.5000 0.5000 0.0000 1
Pt1 Pt 0.0000 0.0000 0.5000 1
Pt2 Pt 0.0000 0.5000 0.0000 1
Pt3 Pt 0.5000 0.0000 0.0000 1
Pt4 Pt 0.5000 0.5000 0.5000 1
S1 S 0.2500 0.2500 0.2500 1
S2 S 0.2500 0.2500 0.7500 1
S3 S 0.2500 0.7500 0.2500 1
S4 S 0.2500 0.7500 0.7500 1
S5 S 0.7500 0.2500 0.2500 1
S6 S 0.7500 0.2500 0.7500 1
S7 S 0.7500 0.7500 0.2500 1
S8 S 0.7500 0.7500 0.7500 1



[6]
# Sc3HPt meta-GGA SCAN single point on PBEsol structure
# VASP energy	-119.9	eV/cell
# size of the total moment	0.47	μB/atom
# calculated density	7.1	g/cm³
data_Sc3HPt
_chemical_formula_sum 'Sc3 H1 Pt1'
_symmetry_space_group_name_H-M 'P 1'
_symmetry_Int_Tables_number 1
_cell_length_a 4.2706
_cell_length_b 4.2706
_cell_length_c 4.2706
_cell_angle_alpha 90.00
_cell_angle_beta 90.00
_cell_angle_gamma 90.00
loop_
_symmetry_equiv_pos_as_xyz
'x,y,z'
loop_
_atom_site_label
_atom_site_type_symbol
_atom_site_fract_x
_atom_site_fract_y
_atom_site_fract_z
_atom_site_occupancy
Sc1 Sc 0.0000 0.0000 0.5000 1
Sc2 Sc 0.0000 0.5000 0.0000 1
Sc3 Sc 0.5000 0.0000 0.0000 1
H1 H 0.0000 0.0000 0.0000 1
Pt1 Pt 0.5000 0.5000 0.5000 1



[7]
# ScHPt3 meta-GGA SCAN single point on PBEsol structure
# VASP energy	-232.4	eV/cell
# size of the total moment	0.00	μB/atom
# calculated density	16.2	g/cm³
data_ScHPt3
_chemical_formula_sum 'Sc1 H1 Pt3'
_symmetry_space_group_name_H-M 'P 1'
_symmetry_Int_Tables_number 1
_cell_length_a 4.0162
_cell_length_b 4.0162
_cell_length_c 4.0162
_cell_angle_alpha 90.00
_cell_angle_beta 90.00
_cell_angle_gamma 90.00
loop_
_symmetry_equiv_pos_as_xyz
'x,y,z'
loop_
_atom_site_label
_atom_site_type_symbol
_atom_site_fract_x
_atom_site_fract_y
_atom_site_fract_z
_atom_site_occupancy
Sc1 Sc 0.0000 0.0000 0.0000 1
H1 H 0.5000 0.5000 0.5000 1
Pt1 Pt 0.0000 0.5000 0.5000 1
Pt2 Pt 0.5000 0.0000 0.5000 1
Pt3 Pt 0.5000 0.5000 0.0000 1



[8]
# Sc2H2Pt meta-GGA SCAN single point on PBEsol structure
# VASP energy	-221.6	eV/cell
# size of the total moment	0.00	μB/atom
# calculated density	7.9	g/cm³
data_Sc2H2Pt
_chemical_formula_sum 'Sc4 H4 Pt2'
_symmetry_space_group_name_H-M 'P 1'
_symmetry_Int_Tables_number 1
_cell_length_a 3.2491
_cell_length_b 3.2491
_cell_length_c 11.4358
_cell_angle_alpha 90.00
_cell_angle_beta 90.00
_cell_angle_gamma 90.00
loop_
_symmetry_equiv_pos_as_xyz
'x,y,z'
loop_
_atom_site_label
_atom_site_type_symbol
_atom_site_fract_x
_atom_site_fract_y
_atom_site_fract_z
_atom_site_occupancy
Sc1 Sc 0.0000 0.0000 0.1438 1
Sc2 Sc 0.0000 0.0000 0.8562 1
Sc3 Sc 0.5000 0.5000 0.3562 1
Sc4 Sc 0.5000 0.5000 0.6438 1
H1 H 0.0000 0.5000 0.2500 1
H2 H 0.0000 0.5000 0.7500 1
H3 H 0.5000 0.0000 0.2500 1
H4 H 0.5000 0.0000 0.7500 1
Pt1 Pt 0.0000 0.0000 0.5000 1
Pt2 Pt 0.5000 0.5000 0.0000 1



[9]
# H2PtSe meta-GGA SCAN single point on PBEsol structure
# VASP energy	-373.8	eV/cell
# size of the total moment	0.00	μB/atom
# calculated density	11.5	g/cm³
data_H2PtSe
_chemical_formula_sum 'H8 Pt4 Se4'
_symmetry_space_group_name_H-M 'P 1'
_symmetry_Int_Tables_number 1
_cell_length_a 5.4207
_cell_length_b 5.4207
_cell_length_c 5.4207
_cell_angle_alpha 90.00
_cell_angle_beta 90.00
_cell_angle_gamma 90.00
loop_
_symmetry_equiv_pos_as_xyz
'x,y,z'
loop_
_atom_site_label
_atom_site_type_symbol
_atom_site_fract_x
_atom_site_fract_y
_atom_site_fract_z
_atom_site_occupancy
H1 H 0.2500 0.2500 0.2500 1
H2 H 0.2500 0.2500 0.7500 1
H3 H 0.2500 0.7500 0.2500 1
H4 H 0.2500 0.7500 0.7500 1
H5 H 0.7500 0.2500 0.2500 1
H6 H 0.7500 0.2500 0.7500 1
H7 H 0.7500 0.7500 0.2500 1
H8 H 0.7500 0.7500 0.7500 1
Pt1 Pt 0.0000 0.0000 0.0000 1
Pt2 Pt 0.0000 0.5000 0.5000 1
Pt3 Pt 0.5000 0.0000 0.5000 1
Pt4 Pt 0.5000 0.5000 0.0000 1
Se1 Se 0.0000 0.0000 0.5000 1
Se2 Se 0.0000 0.5000 0.0000 1
Se3 Se 0.5000 0.0000 0.0000 1
Se4 Se 0.5000 0.5000 0.5000 1



[10]
# HPtSe2 meta-GGA SCAN single point on PBEsol structure
# offset from the most stable computed form	352	meV/atom
# VASP energy	-451.0	eV/cell
# size of the total moment	0.00	μB/atom
# calculated density	8.7	g/cm³
data_HPtSe2
_chemical_formula_sum 'H4 Pt4 Se8'
_symmetry_space_group_name_H-M 'P 1'
_symmetry_Int_Tables_number 1
_cell_length_a 5.3405
_cell_length_b 5.3405
_cell_length_c 9.4435
_cell_angle_alpha 90.00
_cell_angle_beta 90.00
_cell_angle_gamma 90.00
loop_
_symmetry_equiv_pos_as_xyz
'x,y,z'
loop_
_atom_site_label
_atom_site_type_symbol
_atom_site_fract_x
_atom_site_fract_y
_atom_site_fract_z
_atom_site_occupancy
H1 H 0.0000 0.0000 0.0000 1
H2 H 0.0000 0.5000 0.2500 1
H3 H 0.5000 0.0000 0.7500 1
H4 H 0.5000 0.5000 0.5000 1
Pt1 Pt 0.0000 0.0000 0.5000 1
Pt2 Pt 0.0000 0.5000 0.7500 1
Pt3 Pt 0.5000 0.0000 0.2500 1
Pt4 Pt 0.5000 0.5000 0.0000 1
Se1 Se 0.1977 0.7500 0.1250 1
Se2 Se 0.2500 0.1977 0.8750 1
Se3 Se 0.2500 0.3023 0.3750 1
Se4 Se 0.3023 0.7500 0.6250 1
Se5 Se 0.6977 0.2500 0.6250 1
Se6 Se 0.7500 0.6977 0.3750 1
Se7 Se 0.7500 0.8023 0.8750 1
Se8 Se 0.8023 0.2500 0.1250 1



[11]
# HPtSe2 meta-GGA SCAN single point on PBEsol structure
# offset from the most stable computed form	0	meV/atom
# VASP energy	-342.5	eV/cell
# size of the total moment	0.00	μB/atom
# calculated density	7.6	g/cm³
data_HPtSe2
_chemical_formula_sum 'H3 Pt3 Se6'
_symmetry_space_group_name_H-M 'P 1'
_symmetry_Int_Tables_number 1
_cell_length_a 3.8603
_cell_length_b 3.8603
_cell_length_c 18.0047
_cell_angle_alpha 90.00
_cell_angle_beta 90.00
_cell_angle_gamma 120.00
loop_
_symmetry_equiv_pos_as_xyz
'x,y,z'
loop_
_atom_site_label
_atom_site_type_symbol
_atom_site_fract_x
_atom_site_fract_y
_atom_site_fract_z
_atom_site_occupancy
H1 H 0.0000 0.0000 0.0000 1
H2 H 0.3333 0.6667 0.6667 1
H3 H 0.6667 0.3333 0.3333 1
Pt1 Pt 0.0000 0.0000 0.5000 1
Pt2 Pt 0.3333 0.6667 0.1667 1
Pt3 Pt 0.6667 0.3333 0.8333 1
Se1 Se 0.0000 0.0000 0.0988 1
Se2 Se 0.0000 0.0000 0.9012 1
Se3 Se 0.3333 0.6667 0.5679 1
Se4 Se 0.3333 0.6667 0.7654 1
Se5 Se 0.6667 0.3333 0.2346 1
Se6 Se 0.6667 0.3333 0.4321 1



[12]
# HPtSe3 meta-GGA SCAN single point on PBEsol structure
# VASP energy	-128.6	eV/cell
# size of the total moment	0.00	μB/atom
# calculated density	9.7	g/cm³
data_HPtSe3
_chemical_formula_sum 'H1 Pt1 Se3'
_symmetry_space_group_name_H-M 'P 1'
_symmetry_Int_Tables_number 1
_cell_length_a 4.2078
_cell_length_b 4.2078
_cell_length_c 4.2078
_cell_angle_alpha 90.00
_cell_angle_beta 90.00
_cell_angle_gamma 90.00
loop_
_symmetry_equiv_pos_as_xyz
'x,y,z'
loop_
_atom_site_label
_atom_site_type_symbol
_atom_site_fract_x
_atom_site_fract_y
_atom_site_fract_z
_atom_site_occupancy
H1 H 0.0000 0.0000 0.0000 1
Pt1 Pt 0.5000 0.5000 0.5000 1
Se1 Se 0.0000 0.0000 0.5000 1
Se2 Se 0.0000 0.5000 0.0000 1
Se3 Se 0.5000 0.0000 0.0000 1